# 1
Compound: Ti2NbCo2
Source: the Alexandria database
Functional: GGA-PBE
Structure: relaxed

- Formation enthalpy at 0 K: -0.196 eV per atom
- V: 14.4 Å³/atom
- SG: No. 127
- Size of the total moment: 0.000 μB per formula unit
- Polymorph energy (0 for the lowest one): 0.00 eV/f.u.

CIF file:
```
data_Ti2NbCo2
_chemical_formula_sum 'Ti4 Nb2 Co4'
_symmetry_space_group_name_H-M 'P 1'
_symmetry_Int_Tables_number 1
_symmetry_space_group_name_Hall 'P 1'
_cell_length_a 7.073
_cell_length_b 7.073
_cell_length_c 2.874
_cell_angle_alpha 90.00
_cell_angle_beta 90.00
_cell_angle_gamma 90.00
loop_
_atom_site_label
_atom_site_type_symbol
_atom_site_fract_x
_atom_site_fract_y
_atom_site_fract_z
Co1 Co 0.869 0.631 0.000
Co2 Co 0.369 0.869 0.000
Ti1 Ti 0.340 0.160 0.500
Ti2 Ti 0.660 0.840 0.500
Ti3 Ti 0.840 0.340 0.500
Ti4 Ti 0.160 0.660 0.500
Co3 Co 0.631 0.131 0.000
Co4 Co 0.131 0.369 0.000
Nb1 Nb 0.500 0.500 0.000
Nb2 Nb 0.000 0.000 0.000
```

# 2
Compound: CaHgBr
Source: the Alexandria database
Functional: GGA-PBE
Structure: relaxed

- V: 32.6 Å³/atom
- SG: No. 12
- Size of the total moment: 0.000 μB per formula unit
- Polymorph energy (0 for the lowest one): 0.00 eV/f.u.
- Formation energy (no corrections): -1133 meV per atom

CIF file:
```
data_CaHgBr
_chemical_formula_sum 'Ca4 Hg4 Br4'
_symmetry_space_group_name_H-M 'P 1'
_symmetry_Int_Tables_number 1
_symmetry_space_group_name_Hall 'P 1'
_cell_length_a 12.087
_cell_length_b 4.284
_cell_length_c 7.695
_cell_angle_alpha 90.00
_cell_angle_beta 101.19
_cell_angle_gamma 90.00
loop_
_atom_site_label
_atom_site_type_symbol
_atom_site_fract_x
_atom_site_fract_y
_atom_site_fract_z
Br1 Br 0.146 0.500 0.212
Hg1 Hg 0.560 0.000 0.856
Ca1 Ca 0.273 0.000 0.421
Br2 Br 0.854 0.000 0.288
Hg2 Hg 0.440 0.500 0.644
Ca2 Ca 0.727 0.000 0.579
Hg3 Hg 0.440 0.000 0.144
Hg4 Hg 0.560 0.500 0.356
Br3 Br 0.854 0.500 0.788
Ca3 Ca 0.727 0.500 0.079
Br4 Br 0.146 0.000 0.712
Ca4 Ca 0.273 0.500 0.921
```

# 3
Compound: Sm2Ga2Pd5Au
Source: the Alexandria database
Functional: GGA-PBE
Structure: relaxed

- Formation enthalpy at 0 K: -0.669 eV per atom
- V: 18.5 Å³/atom
- SG: No. 127
- Size of the total moment: 0.000 μB per formula unit

CIF file:
```
data_Sm2Ga2Pd5Au
_chemical_formula_sum 'Sm4 Ga4 Pd10 Au2'
_symmetry_space_group_name_H-M 'P 1'
_symmetry_Int_Tables_number 1
_symmetry_space_group_name_Hall 'P 1'
_cell_length_a 3.777
_cell_length_b 9.906
_cell_length_c 9.906
_cell_angle_alpha 90.00
_cell_angle_beta 90.00
_cell_angle_gamma 90.00
loop_
_atom_site_label
_atom_site_type_symbol
_atom_site_fract_x
_atom_site_fract_y
_atom_site_fract_z
Sm1 Sm 0.000 0.321 0.821
Au1 Au 0.000 0.000 0.000
Ga1 Ga 0.000 0.380 0.120
Pd1 Pd 0.500 0.207 0.062
Pd2 Pd 0.500 0.707 0.438
Pd3 Pd 0.500 0.438 0.293
Au2 Au 0.000 0.500 0.500
Sm2 Sm 0.000 0.179 0.321
Sm3 Sm 0.000 0.679 0.179
Ga2 Ga 0.000 0.120 0.620
Ga3 Ga 0.000 0.620 0.880
Ga4 Ga 0.000 0.880 0.380
Pd4 Pd 0.500 0.793 0.938
Pd5 Pd 0.500 0.293 0.562
Pd6 Pd 0.500 0.938 0.207
Pd7 Pd 0.500 0.000 0.500
Sm4 Sm 0.000 0.821 0.679
Pd8 Pd 0.500 0.500 0.000
Pd9 Pd 0.500 0.062 0.793
Pd10 Pd 0.500 0.562 0.707
```

# 4
Compound: AcLa6TbPm2
Source: the Alexandria database
Functional: GGA-PBE
Structure: relaxed

- Formation enthalpy at 0 K: 0.175 eV per atom
- V: 36.8 Å³/atom
- SG: No. 12
- Size of the total moment: 0.000 μB per formula unit

CIF file:
```
data_AcLa6TbPm2
_chemical_formula_sum 'Ac1 La6 Tb1 Pm2'
_symmetry_space_group_name_H-M 'P 1'
_symmetry_Int_Tables_number 1
_symmetry_space_group_name_Hall 'P 1'
_cell_length_a 10.127
_cell_length_b 6.882
_cell_length_c 6.822
_cell_angle_alpha 120.29
_cell_angle_beta 112.57
_cell_angle_gamma 90.00
loop_
_atom_site_label
_atom_site_type_symbol
_atom_site_fract_x
_atom_site_fract_y
_atom_site_fract_z
Pm1 Pm 0.190 0.066 0.132
La1 La 0.168 0.082 0.620
La2 La 0.832 0.918 0.380
La3 La 0.832 0.462 0.380
Tb1 Tb 0.000 0.500 0.000
Pm2 Pm 0.810 0.934 0.868
La4 La 0.579 0.355 0.710
La5 La 0.421 0.645 0.290
Ac1 Ac 0.500 0.000 0.000
La6 La 0.168 0.538 0.620
```

# 5
Compound: Ba2UBiO6
Source: the Alexandria database
Functional: GGA-PBE
Structure: relaxed

- V: 18.1 Å³/atom
- SG: No. 99
- Size of the total moment: 1.000 μB per formula unit
- Formation energy (no corrections): -2596 meV per atom

CIF file:
```
data_Ba2UBiO6
_chemical_formula_sum 'Ba2 U1 Bi1 O6'
_symmetry_space_group_name_H-M 'P 1'
_symmetry_Int_Tables_number 1
_symmetry_space_group_name_Hall 'P 1'
_cell_length_a 4.545
_cell_length_b 6.307
_cell_length_c 6.307
_cell_angle_alpha 90.00
_cell_angle_beta 90.00
_cell_angle_gamma 90.00
loop_
_atom_site_label
_atom_site_type_symbol
_atom_site_fract_x
_atom_site_fract_y
_atom_site_fract_z
U1 U 0.647 0.000 0.000
O1 O 0.668 0.764 0.764
O2 O 0.668 0.236 0.236
Bi1 Bi 0.637 0.500 0.500
Ba1 Ba 0.105 0.000 0.500
Ba2 Ba 0.105 0.500 0.000
O3 O 0.668 0.764 0.236
O4 O 0.668 0.236 0.764
O5 O 0.133 0.500 0.500
O6 O 0.150 0.000 0.000
```

# 6
Compound: Rb2CaLaI6
Source: the Alexandria database
Functional: GGA-PBE
Structure: relaxed

- V: 49.5 Å³/atom
- SG: No. 225
- Size of the total moment: 0.989 μB per formula unit
- Formation energy (no corrections): -1391 meV per atom

CIF file:
```
data_Rb2CaLaI6
_chemical_formula_sum 'Rb2 Ca1 La1 I6'
_symmetry_space_group_name_H-M 'P 1'
_symmetry_Int_Tables_number 1
_symmetry_space_group_name_Hall 'P 1'
_cell_length_a 8.877
_cell_length_b 8.877
_cell_length_c 8.878
_cell_angle_alpha 60.00
_cell_angle_beta 60.00
_cell_angle_gamma 90.00
loop_
_atom_site_label
_atom_site_type_symbol
_atom_site_fract_x
_atom_site_fract_y
_atom_site_fract_z
I1 I 0.254 0.254 0.000
La1 La 0.000 0.000 0.000
I2 I 0.254 0.746 0.000
Rb1 Rb 0.750 0.250 0.500
I3 I 0.254 0.254 0.493
Rb2 Rb 0.250 0.750 0.500
Ca1 Ca 0.500 0.500 0.000
I4 I 0.746 0.746 0.000
I5 I 0.746 0.746 0.507
I6 I 0.746 0.254 0.000
```

# 7
Compound: Hg5Au
Source: the Alexandria database
Functional: GGA-PBE
Structure: relaxed

- Formation enthalpy at 0 K: 0.097 eV per atom
- V: 25.3 Å³/atom
- SG: No. 38
- Size of the total moment: 0.000 μB per formula unit
- Polymorph energy (0 for the lowest one): 0.24 eV/f.u.

CIF file:
```
data_Hg5Au
_chemical_formula_sum 'Hg5 Au1'
_symmetry_space_group_name_H-M 'P 1'
_symmetry_Int_Tables_number 1
_symmetry_space_group_name_Hall 'P 1'
_cell_length_a 9.366
_cell_length_b 9.366
_cell_length_c 5.791
_cell_angle_alpha 90.00
_cell_angle_beta 90.00
_cell_angle_gamma 162.63
loop_
_atom_site_label
_atom_site_type_symbol
_atom_site_fract_x
_atom_site_fract_y
_atom_site_fract_z
Hg1 Hg 0.561 0.439 0.500
Hg2 Hg 0.904 0.096 0.500
Au1 Au 0.990 0.010 0.000
Hg3 Hg 0.233 0.767 0.500
Hg4 Hg 0.644 0.356 0.000
Hg5 Hg 0.335 0.665 0.000
```

# 8
Compound: RbCuF2
Source: the Alexandria database
Functional: GGA-PBE
Structure: relaxed

- V: 19.5 Å³/atom
- SG: No. 166
- Size of the total moment: 0.098 μB per formula unit
- Polymorph energy (0 for the lowest one): 2.28 eV/f.u.
- Formation energy (no corrections): -1348 meV per atom

CIF file:
```
data_RbCuF2
_chemical_formula_sum 'Rb1 Cu1 F2'
_symmetry_space_group_name_H-M 'P 1'
_symmetry_Int_Tables_number 1
_symmetry_space_group_name_Hall 'P 1'
_cell_length_a 7.185
_cell_length_b 7.185
_cell_length_c 7.185
_cell_angle_alpha 29.14
_cell_angle_beta 29.14
_cell_angle_gamma 29.14
loop_
_atom_site_label
_atom_site_type_symbol
_atom_site_fract_x
_atom_site_fract_y
_atom_site_fract_z
F1 F 0.878 0.878 0.878
Rb1 Rb 0.000 0.000 0.000
Cu1 Cu 0.500 0.500 0.500
F2 F 0.122 0.122 0.122
```

# 9
Compound: KReP2O
Source: the Alexandria database
Functional: GGA-PBE
Structure: relaxed

- V: 18.2 Å³/atom
- SG: No. 123
- Size of the total moment: 0.000 μB per formula unit
- Polymorph energy (0 for the lowest one): 0.00 eV/f.u.
- Formation energy (no corrections): -253 meV per atom

CIF file:
```
data_KReP2O
_chemical_formula_sum 'K1 Re1 P2 O1'
_symmetry_space_group_name_H-M 'P 1'
_symmetry_Int_Tables_number 1
_symmetry_space_group_name_Hall 'P 1'
_cell_length_a 4.850
_cell_length_b 4.850
_cell_length_c 3.868
_cell_angle_alpha 90.00
_cell_angle_beta 90.00
_cell_angle_gamma 90.00
loop_
_atom_site_label
_atom_site_type_symbol
_atom_site_fract_x
_atom_site_fract_y
_atom_site_fract_z
P1 P 0.000 0.500 0.000
O1 O 0.000 0.000 0.500
K1 K 0.500 0.500 0.500
Re1 Re 0.000 0.000 0.000
P2 P 0.500 0.000 0.000
```

# 10
Compound: Ac3Pd3Rh2
Source: the Alexandria database
Functional: GGA-PBE
Structure: relaxed

- Formation enthalpy at 0 K: -0.668 eV per atom
- V: 25.0 Å³/atom
- SG: No. 63
- Size of the total moment: 0.000 μB per formula unit
- Polymorph energy (0 for the lowest one): 0.00 eV/f.u.

CIF file:
```
data_Ac3Pd3Rh2
_chemical_formula_sum 'Ac6 Pd6 Rh4'
_symmetry_space_group_name_H-M 'P 1'
_symmetry_Int_Tables_number 1
_symmetry_space_group_name_Hall 'P 1'
_cell_length_a 4.298
_cell_length_b 6.058
_cell_length_c 16.425
_cell_angle_alpha 90.00
_cell_angle_beta 90.00
_cell_angle_gamma 110.78
loop_
_atom_site_label
_atom_site_type_symbol
_atom_site_fract_x
_atom_site_fract_y
_atom_site_fract_z
Rh1 Rh 0.817 0.634 0.877
Pd1 Pd 0.586 0.172 0.055
Pd2 Pd 0.665 0.329 0.750
Rh2 Rh 0.183 0.366 0.123
Ac1 Ac 0.601 0.202 0.250
Ac2 Ac 0.872 0.744 0.088
Pd3 Pd 0.414 0.828 0.555
Rh3 Rh 0.183 0.366 0.377
Pd4 Pd 0.586 0.172 0.445
Pd5 Pd 0.414 0.828 0.945
Ac3 Ac 0.399 0.798 0.750
Rh4 Rh 0.817 0.634 0.623
Ac4 Ac 0.872 0.744 0.412
Ac5 Ac 0.128 0.256 0.588
Pd6 Pd 0.335 0.671 0.250
Ac6 Ac 0.128 0.256 0.912
```

# 11
Compound: AcNd2ThP4
Source: the Alexandria database
Functional: GGA-PBE
Structure: relaxed

- Formation enthalpy at 0 K: -1.525 eV per atom
- V: 26.7 Å³/atom
- SG: No. 10
- Size of the total moment: 0.000 μB per formula unit

CIF file:
```
data_AcNd2ThP4
_chemical_formula_sum 'Ac1 Nd2 Th1 P4'
_symmetry_space_group_name_H-M 'P 1'
_symmetry_Int_Tables_number 1
_symmetry_space_group_name_Hall 'P 1'
_cell_length_a 4.227
_cell_length_b 7.303
_cell_length_c 7.341
_cell_angle_alpha 70.60
_cell_angle_beta 90.00
_cell_angle_gamma 90.00
loop_
_atom_site_label
_atom_site_type_symbol
_atom_site_fract_x
_atom_site_fract_y
_atom_site_fract_z
P1 P 0.000 0.756 0.737
Nd1 Nd 0.500 0.000 0.500
Th1 Th 0.000 0.500 0.500
Nd2 Nd 0.000 0.000 0.000
P2 P 0.500 0.750 0.259
Ac1 Ac 0.500 0.500 0.000
P3 P 0.000 0.244 0.263
P4 P 0.500 0.250 0.741
```

# 12
Compound: Ca2Zn2GeRh5
Source: the Alexandria database
Functional: GGA-PBE
Structure: relaxed

- Formation enthalpy at 0 K: -0.432 eV per atom
- V: 16.7 Å³/atom
- SG: No. 127
- Size of the total moment: 0.000 μB per formula unit

CIF file:
```
data_Ca2Zn2GeRh5
_chemical_formula_sum 'Ca4 Zn4 Ge2 Rh10'
_symmetry_space_group_name_H-M 'P 1'
_symmetry_Int_Tables_number 1
_symmetry_space_group_name_Hall 'P 1'
_cell_length_a 3.227
_cell_length_b 10.174
_cell_length_c 10.174
_cell_angle_alpha 90.00
_cell_angle_beta 90.00
_cell_angle_gamma 90.00
loop_
_atom_site_label
_atom_site_type_symbol
_atom_site_fract_x
_atom_site_fract_y
_atom_site_fract_z
Zn1 Zn 0.000 0.368 0.132
Rh1 Rh 0.500 0.691 0.442
Rh2 Rh 0.500 0.309 0.558
Ge1 Ge 0.000 0.000 0.000
Rh3 Rh 0.500 0.191 0.058
Rh4 Rh 0.500 0.500 0.000
Zn2 Zn 0.000 0.632 0.868
Rh5 Rh 0.500 0.058 0.809
Rh6 Rh 0.500 0.558 0.691
Ca1 Ca 0.000 0.671 0.171
Ge2 Ge 0.000 0.500 0.500
Ca2 Ca 0.000 0.829 0.671
Rh7 Rh 0.500 0.809 0.942
Zn3 Zn 0.000 0.868 0.368
Ca3 Ca 0.000 0.171 0.329
Zn4 Zn 0.000 0.132 0.632
Ca4 Ca 0.000 0.329 0.829
Rh8 Rh 0.500 0.000 0.500
Rh9 Rh 0.500 0.942 0.191
Rh10 Rh 0.500 0.442 0.309
```